# 1
Material: V6Rh12W
Method: DFT, GGA-PBE
State: optimized geometry

Cell lengths 7.175, 7.175, 7.175 Å; angles 110.95, 110.95, 110.95 degrees
Element x y z (fractional)
1 Rh 0.930 0.632 0.427
2 Rh 0.632 0.427 0.930
3 Rh 0.892 0.257 0.839
4 Rh 0.427 0.930 0.632
5 Rh 0.743 0.161 0.108
6 Rh 0.839 0.892 0.257
7 Rh 0.108 0.743 0.161
8 Rh 0.368 0.573 0.070
9 Rh 0.257 0.839 0.892
10 Rh 0.070 0.368 0.573
11 Rh 0.573 0.070 0.368
12 Rh 0.161 0.108 0.743
13 V 0.309 0.195 0.471
14 V 0.195 0.471 0.309
15 V 0.529 0.691 0.805
16 V 0.471 0.309 0.195
17 V 0.691 0.805 0.529
18 V 0.805 0.529 0.691
19 W 0.000 0.000 0.000

Values from the calculation:
Symmetry ... No. 148
Formation enthalpy at 0 K ... -0.244 eV/atom

---

# 2
Material: K11HgAu5
Method: DFT, GGA-PBE
State: optimized geometry

Cell lengths 8.236, 9.819, 9.819 Å; angles 99.40, 101.68, 101.68 degrees
Element x y z (fractional)
1 K 0.394 0.667 0.667
2 K 0.091 0.175 0.423
3 K 0.287 0.846 0.307
4 K 0.606 0.333 0.333
5 K 0.091 0.423 0.175
6 K 0.909 0.577 0.825
7 K 0.713 0.154 0.693
8 K 0.500 0.000 0.000
9 K 0.909 0.825 0.577
10 K 0.713 0.693 0.154
11 K 0.287 0.307 0.846
12 Hg 0.000 0.000 0.000
13 Au 0.000 0.500 0.500
14 Au 0.309 0.997 0.650
15 Au 0.691 0.350 0.003
16 Au 0.691 0.003 0.350
17 Au 0.309 0.650 0.997

Values from the calculation:
Symmetry ... No. 12
Formation enthalpy at 0 K ... -0.176 eV/atom

---

Number 1: density of states at the Fermi level 17.2 states/eV per cell. Number 2: density of states at the Fermi level 10.7 states/eV per cell.